[1]
DFT (GGA-PBEsol) results for an optimized crystal structure of KBePb2.

```
KBePb2
1.0
3.754 0.000 0.000
0.000 4.223 0.000
-1.704 0.000 7.225
K Be Pb
1 1 2
Cartesian
0.000 0.000 0.000 K
1.025 0.000 3.612 Be
0.093 2.112 4.869 Pb
1.956 2.112 2.356 Pb
```

Calculated values
- spin magnetization (μB/cell) = 0.00

---

[2]
DFT (GGA-PBEsol) results for an optimized crystal structure of KBePb2.

```
KBePb2
1.0
2.100 1.212 7.582
-2.100 1.212 7.582
0.000 -2.425 7.582
K Be Pb
1 1 2
Cartesian
0.000 0.000 0.000 K
0.000 0.000 18.839 Be
0.000 0.000 4.857 Pb
0.000 0.000 10.168 Pb
```

Calculated values
- spin magnetization (μB/cell) = 0.00

---

[3]
DFT (GGA-PBEsol) results for an optimized crystal structure of KBePb2.

```
KBePb2
1.0
4.515 0.000 0.000
0.000 4.545 0.000
-2.237 0.000 6.189
K Be Pb
1 1 2
Cartesian
0.000 0.000 0.000 K
0.005 2.273 4.270 Be
0.019 0.000 3.462 Pb
2.271 2.273 2.572 Pb
```

Calculated values
- spin magnetization (μB/cell) = 0.00

---

[4]
DFT (GGA-PBEsol) results for an optimized crystal structure of KBePb.

```
KBePb
1.0
0.000 3.655 3.655
3.655 0.000 3.655
3.655 3.655 0.000
K Be Pb
1 1 1
Cartesian
0.000 0.000 0.000 K
5.482 5.482 5.482 Be
1.827 1.827 1.827 Pb
```

Calculated values
- spin magnetization (μB/cell) = 0.00

---

[5]
DFT (GGA-PBEsol) results for an optimized crystal structure of K3BePd.

```
K3BePd
1.0
5.929 0.000 0.000
0.000 5.929 0.000
0.000 0.000 5.929
K Be Pd
3 1 1
Cartesian
0.000 0.000 2.965 K
0.000 2.965 0.000 K
2.965 0.000 0.000 K
0.000 0.000 0.000 Be
2.965 2.965 2.965 Pd
```

Calculated values
- spin magnetization (μB/cell) = 0.00

---

[6]
DFT (GGA-PBEsol) results for an optimized crystal structure of K2ScBePd.

```
K2ScBePd
1.0
6.666 0.000 0.000
0.000 6.666 0.000
0.000 0.000 4.614
K Sc Be Pd
2 1 1 1
Cartesian
0.000 3.333 0.000 K
3.333 0.000 0.000 K
0.000 0.000 0.000 Sc
3.333 3.333 2.307 Be
0.000 0.000 2.307 Pd
```

Calculated values
- spin magnetization (μB/cell) = 0.00

---

no.,ΔE_f (meV per atom)
1,209
2,167
3,318
4,1258
5,975
6,1120